1.
# Bi5PbAu4, relaxed, DFT PBE
# **Calculated density**: 11.7 g/cm³
# **ΔH_f (0 K)**: -0.013 eV/atom
data_Bi5PbAu4
_chemical_formula_sum 'Bi10 Pb2 Au8'
_symmetry_space_group_name_H-M 'C 1 2/m 1'
_symmetry_Int_Tables_number 12
_symmetry_space_group_name_Hall '-C 2y'
_cell_length_a 16.7734
_cell_length_b 4.6841
_cell_length_c 7.6721
_cell_angle_alpha 90.00
_cell_angle_beta 106.70
_cell_angle_gamma 90.00
loop_
_atom_site_label
_atom_site_type_symbol
_atom_site_fract_x
_atom_site_fract_y
_atom_site_fract_z
Bi1 Bi 0.0000 0.0000 0.0000
Bi2 Bi 0.1471 0.5000 0.9624
Bi3 Bi 0.1845 0.5000 0.5347
Pb1 Pb 0.0000 0.0000 0.5000
Au1 Au 0.0302 0.5000 0.2613
Au2 Au 0.1784 0.0000 0.7593

***

2.
# Hf2SiNi4, relaxed, DFT PBE
# **ΔE_f (raw)**: 0.05 eV/atom
# **Calculated density**: 9.2 g/cm³
data_Hf2SiNi4
_chemical_formula_sum 'Hf4 Si2 Ni8'
_symmetry_space_group_name_H-M 'I 4/m m m'
_symmetry_Int_Tables_number 139
_symmetry_space_group_name_Hall '-I 4 2'
_cell_length_a 4.1100
_cell_length_b 4.1100
_cell_length_c 13.3107
_cell_angle_alpha 90.00
_cell_angle_beta 90.00
_cell_angle_gamma 90.00
loop_
_atom_site_label
_atom_site_type_symbol
_atom_site_fract_x
_atom_site_fract_y
_atom_site_fract_z
Hf1 Hf 0.0000 0.0000 0.1516
Si1 Si 0.0000 0.0000 0.5000
Ni1 Ni 0.0000 0.0000 0.3374
Ni2 Ni 0.0000 0.5000 0.0000

***

3.
# ZrSc5Ir6, relaxed, DFT PBE
# **Calculated density**: 11.9 g/cm³
# **ΔH_f (0 K)**: -0.999 eV/atom
data_ZrSc5Ir6
_chemical_formula_sum 'Zr2 Sc10 Ir12'
_symmetry_space_group_name_H-M 'I m m m'
_symmetry_Int_Tables_number 71
_symmetry_space_group_name_Hall '-I 2 2'
_cell_length_a 4.4865
_cell_length_b 6.8062
_cell_length_c 13.4351
_cell_angle_alpha 90.00
_cell_angle_beta 90.00
_cell_angle_gamma 90.00
loop_
_atom_site_label
_atom_site_type_symbol
_atom_site_fract_x
_atom_site_fract_y
_atom_site_fract_z
Zr1 Zr 0.0000 0.0000 0.0000
Sc1 Sc 0.0000 0.0000 0.3336
Sc2 Sc 0.0000 0.5000 0.0000
Sc3 Sc 0.0000 0.5000 0.3305
Ir1 Ir 0.0000 0.2493 0.1660
Ir2 Ir 0.0000 0.2514 0.5000

***

4.
# ScPaAs, relaxed, DFT PBE
# **Calculated density**: 8.6 g/cm³
# **ΔH_f (0 K)**: -0.372 eV/atom
# **Excess energy over the best structure of this formula in the dataset**: 29 kJ/mol of formula units
data_ScPaAs
_chemical_formula_sum 'Sc1 Pa1 As1'
_symmetry_space_group_name_H-M 'P -6 m 2'
_symmetry_Int_Tables_number 187
_symmetry_space_group_name_Hall 'P -6 2'
_cell_length_a 4.6320
_cell_length_b 4.6320
_cell_length_c 3.6505
_cell_angle_alpha 90.00
_cell_angle_beta 90.00
_cell_angle_gamma 120.00
loop_
_atom_site_label
_atom_site_type_symbol
_atom_site_fract_x
_atom_site_fract_y
_atom_site_fract_z
Sc1 Sc 0.0000 0.0000 0.0000
Pa1 Pa 0.3333 0.6667 0.5000
As1 As 0.6667 0.3333 0.0000

***

5.
# Li3CaNi, relaxed, DFT PBE
# **Calculated density**: 1.9 g/cm³
# **ΔH_f (0 K)**: 0.146 eV/atom
# **Excess energy over the best structure of this formula in the dataset**: 0 kJ/mol of formula units
data_Li3CaNi
_chemical_formula_sum 'Li3 Ca1 Ni1'
_symmetry_space_group_name_H-M 'P m -3 m'
_symmetry_Int_Tables_number 221
_symmetry_space_group_name_Hall '-P 4 2 3'
_cell_length_a 4.7086
_cell_length_b 4.7086
_cell_length_c 4.7086
_cell_angle_alpha 90.00
_cell_angle_beta 90.00
_cell_angle_gamma 90.00
loop_
_atom_site_label
_atom_site_type_symbol
_atom_site_fract_x
_atom_site_fract_y
_atom_site_fract_z
Li1 Li 0.0000 0.0000 0.5000
Ca1 Ca 0.5000 0.5000 0.5000
Ni1 Ni 0.0000 0.0000 0.0000

***

6.
# SiTc2Pb, relaxed, DFT PBE
# **ΔE_f (raw)**: 0.39 eV/atom
# **Calculated density**: 11.2 g/cm³
# **Excess energy over the best structure of this formula in the dataset**: 85 kJ/mol of formula units
data_SiTc2Pb
_chemical_formula_sum 'Si4 Tc8 Pb4'
_symmetry_space_group_name_H-M 'F m -3 m'
_symmetry_Int_Tables_number 225
_symmetry_space_group_name_Hall '-F 4 2 3'
_cell_length_a 6.3562
_cell_length_b 6.3562
_cell_length_c 6.3562
_cell_angle_alpha 90.00
_cell_angle_beta 90.00
_cell_angle_gamma 90.00
loop_
_atom_site_label
_atom_site_type_symbol
_atom_site_fract_x
_atom_site_fract_y
_atom_site_fract_z
Si1 Si 0.0000 0.0000 0.0000
Tc1 Tc 0.2500 0.2500 0.2500
Pb1 Pb 0.0000 0.0000 0.5000

***

Record order is preserved below.
Calculated total energy: -36.4, -48.1, -105.4, -21.6, -12.8, -28.3 eV per formula unit